1.
A geometry-optimized NiMoP2S structure. Source: Alexandria via LeMat-Bulk, functional PBE-GGA.

a b c (Å): 4.2613 4.2613 4.4205
angles (deg): 90.00 90.00 90.00
Space group P4/mmm (No. 123)
Inequivalent atoms, fractional coordinates:
Ni: 0.0000 0.0000 0.0000 [1 per cell]
Mo: 0.5000 0.5000 0.5000 [1 per cell]
P: 0.0000 0.5000 0.0000 [2 per cell]
S: 0.0000 0.0000 0.5000 [1 per cell]

Computed properties:
ΔE to the lowest computed polymorph ... 14.7 meV/atom
N(E_F) ... 0.99 states/eV per atom

***

2.
A geometry-optimized ScNiMoP2 structure. Source: Alexandria via LeMat-Bulk, functional PBE-GGA.

a b c (Å): 4.3511 4.3511 4.4639
angles (deg): 90.00 90.00 90.00
Space group P4/mmm (No. 123)
Inequivalent atoms, fractional coordinates:
Sc: 0.0000 0.0000 0.0000 [1 per cell]
Ni: 0.0000 0.0000 0.5000 [1 per cell]
Mo: 0.5000 0.5000 0.0000 [1 per cell]
P: 0.0000 0.5000 0.5000 [2 per cell]

Computed properties:
Raw total energy ... -0.2294 Ha/atom
N(E_F) ... 1.09 states/eV per atom

***

3.
A geometry-optimized NiSnMoP2 structure. Source: Alexandria via LeMat-Bulk, functional PBE-GGA.

a b c (Å): 4.2427 4.2427 5.1367
angles (deg): 90.00 90.00 90.00
Space group P4/mmm (No. 123)
Inequivalent atoms, fractional coordinates:
Ni: 0.0000 0.0000 0.0000 [1 per cell]
Sn: 0.5000 0.5000 0.5000 [1 per cell]
Mo: 0.0000 0.0000 0.5000 [1 per cell]
P: 0.0000 0.5000 0.0000 [2 per cell]

Computed properties:
Raw total energy ... -0.2070 Ha/atom
N(E_F) ... 0.48 states/eV per atom